1.
Compound: Nd3Zn2Ni7
Source: OQMD via LeMat-Bulk
Functional: PBE
Structure: relaxed

Properties
E = -0.368 Ry/atom
energy of formation from the pure elements = -355 meV/atom
crystal system = trigonal

a = 8.624 Å, b = 8.624 Å, c = 8.624 Å
α = 34.97°, β = 34.97°, γ = 34.97°
Atoms (fractional coordinates):
Nd (0.860, 0.860, 0.860)
Nd (0.000, 0.000, 0.000)
Nd (0.140, 0.140, 0.140)
Ni (0.420, 0.420, 0.914)
Ni (0.500, 0.500, 0.500)
Ni (0.420, 0.914, 0.420)
Ni (0.580, 0.580, 0.086)
Ni (0.580, 0.086, 0.580)
Ni (0.086, 0.580, 0.580)
Ni (0.914, 0.420, 0.420)
Zn (0.332, 0.332, 0.332)
Zn (0.668, 0.668, 0.668)

***

2.
Compound: NdZnNi
Source: OQMD via LeMat-Bulk
Functional: PBE
Structure: relaxed

Properties
E = -0.278 Ry/atom
energy of formation from the pure elements = 77 meV/atom
crystal system = cubic

a = 4.523 Å, b = 4.523 Å, c = 4.523 Å
α = 60.00°, β = 60.00°, γ = 60.00°
Atoms (fractional coordinates):
Nd (0.250, 0.250, 0.250)
Zn (0.000, 0.000, 0.000)
Ni (0.750, 0.750, 0.750)

***

3.
Compound: Nd3Zn2Ni4
Source: OQMD via LeMat-Bulk
Functional: PBE
Structure: relaxed

Properties
E = -0.347 Ry/atom
energy of formation from the pure elements = -377 meV/atom
crystal system = monoclinic

a = 5.377 Å, b = 5.377 Å, c = 8.367 Å
α = 98.22°, β = 98.22°, γ = 45.69°
Atoms (fractional coordinates):
Nd (0.375, 0.375, 0.123)
Nd (0.000, 0.000, 0.500)
Nd (0.625, 0.625, 0.877)
Ni (0.917, 0.917, 0.865)
Ni (0.266, 0.266, 0.417)
Ni (0.734, 0.734, 0.583)
Ni (0.083, 0.083, 0.135)
Zn (0.680, 0.680, 0.282)
Zn (0.320, 0.320, 0.718)

***

4.
Compound: NdZrNi
Source: OQMD via LeMat-Bulk
Functional: PBE
Structure: relaxed

Properties
E = -0.452 Ry/atom
energy of formation from the pure elements = 137 meV/atom
crystal system = cubic

a = 4.654 Å, b = 4.654 Å, c = 4.654 Å
α = 60.00°, β = 60.00°, γ = 60.00°
Atoms (fractional coordinates):
Nd (0.250, 0.250, 0.250)
Zr (0.750, 0.750, 0.750)
Ni (0.000, 0.000, 0.000)

***

5.
Compound: NdZrNi
Source: OQMD via LeMat-Bulk
Functional: PBE
Structure: relaxed

Properties
E = -0.398 Ry/atom
energy of formation from the pure elements = 883 meV/atom
crystal system = cubic

a = 4.590 Å, b = 4.590 Å, c = 4.590 Å
α = 60.00°, β = 60.00°, γ = 60.00°
Atoms (fractional coordinates):
Nd (0.000, 0.000, 0.000)
Ni (0.250, 0.250, 0.250)
Zr (0.750, 0.750, 0.750)

***

6.
Compound: NdNp
Source: OQMD via LeMat-Bulk
Functional: PBE
Structure: relaxed

Properties
E = -0.496 Ry/atom
energy of formation from the pure elements = 2014 meV/atom
crystal system = cubic

a = 4.528 Å, b = 4.528 Å, c = 4.528 Å
α = 60.00°, β = 60.00°, γ = 60.00°
Each line ends with the local moment (μB).
Atoms (fractional coordinates):
Np (0.250, 0.250, 0.250)  3.91
Nd (0.000, 0.000, 0.000)  0.26

***

7.
Compound: NdNp
Source: OQMD via LeMat-Bulk
Functional: PBE
Structure: relaxed

Properties
E = -0.556 Ry/atom
energy of formation from the pure elements = 1195 meV/atom
crystal system = cubic

a = 4.491 Å, b = 4.491 Å, c = 4.491 Å
α = 60.00°, β = 60.00°, γ = 60.00°
Each line ends with the local moment (μB).
Atoms (fractional coordinates):
Np (0.500, 0.500, 0.500)  4.37
Nd (0.000, 0.000, 0.000)  0.47

***

8.
Compound: NdNp
Source: OQMD via LeMat-Bulk
Functional: PBE
Structure: relaxed

Properties
E = -0.605 Ry/atom
energy of formation from the pure elements = 542 meV/atom
crystal system = hexagonal

a = 3.377 Å, b = 3.377 Å, c = 5.837 Å
α = 90.00°, β = 90.00°, γ = 120.00°
Each line ends with the local moment (μB).
Atoms (fractional coordinates):
Nd (0.667, 0.333, 0.750)  -0.03
Np (0.333, 0.667, 0.250)  4.05